[1]
This record from the Open Quantum Materials Database describes a geometry-optimized FeCoP structure. The functional is PBE.

Cell: 5.680 3.509 6.505 Å, 90.00 90.00 90.00°
Element x y z (fractional)
1 Co 0.140 0.250 0.067
2 Co 0.640 0.250 0.433
3 Co 0.360 0.750 0.567
4 Co 0.860 0.750 0.933
5 Fe 0.467 0.750 0.163
6 Fe 0.967 0.750 0.337
7 Fe 0.033 0.250 0.663
8 Fe 0.533 0.250 0.837
9 P 0.756 0.250 0.121
10 P 0.256 0.250 0.379
11 P 0.744 0.750 0.621
12 P 0.244 0.750 0.879

Its total DFT energy (no corrections) is -89.94 eV/cell.

[2]
This record from the Open Quantum Materials Database describes a geometry-optimized FeCoP structure. The functional is PBE.

Cell: 3.851 3.851 5.029 Å, 90.00 90.00 120.00°
Element x y z (fractional)
1 Co 0.667 0.333 0.250
2 Co 0.333 0.667 0.750
3 Fe 0.000 0.000 0.000
4 Fe 0.000 0.000 0.500
5 P 0.333 0.667 0.250
6 P 0.667 0.333 0.750

Its total DFT energy (no corrections) is -43.24 eV/cell.

[3]
This record from the Open Quantum Materials Database describes a geometry-optimized FeCoP structure. The functional is PBE.

Cell: 3.671 3.671 5.739 Å, 90.00 90.00 120.00°
Element x y z (fractional)
1 Co 0.333 0.667 0.039
2 Co 0.667 0.333 0.539
3 Fe 0.000 0.000 0.282
4 Fe 0.000 0.000 0.782
5 P 0.333 0.667 0.429
6 P 0.667 0.333 0.929

Its total DFT energy (no corrections) is -43.76 eV/cell.

[4]
This record from the Open Quantum Materials Database describes a geometry-optimized FeCoP2 structure. The functional is PBE.

Cell: 3.213 5.616 5.027 Å, 90.00 90.00 90.00°
Element x y z (fractional)
1 Co 0.500 0.047 0.500
2 Co 0.500 0.953 0.000
3 Fe 0.000 0.450 0.497
4 Fe 0.000 0.550 0.997
5 P 0.500 0.332 0.192
6 P 0.000 0.824 0.311
7 P 0.500 0.668 0.692
8 P 0.000 0.176 0.811

Its total DFT energy (no corrections) is -57.41 eV/cell.

[5]
This record from the Open Quantum Materials Database describes a geometry-optimized FeCoP structure. The functional is PBE.

Cell: 3.821 3.821 4.921 Å, 90.00 90.00 120.00°
Element x y z (fractional)
1 Co 0.000 0.000 0.000
2 Co 0.000 0.000 0.500
3 Fe 0.667 0.333 0.250
4 Fe 0.333 0.667 0.750
5 P 0.333 0.667 0.250
6 P 0.667 0.333 0.750

Its total DFT energy (no corrections) is -43.21 eV/cell.

[6]
This record from the Open Quantum Materials Database describes a geometry-optimized Fe3CoP4 structure. The functional is PBE.

Cell: 5.085 3.133 5.694 Å, 90.00 90.09 90.00°
Element x y z (fractional)
1 Co 0.001 0.000 0.797
2 Fe 0.997 0.500 0.201
3 Fe 0.498 0.500 0.300
4 Fe 0.501 0.000 0.702
5 P 0.688 0.000 0.072
6 P 0.193 0.000 0.426
7 P 0.809 0.500 0.571
8 P 0.312 0.500 0.930

Its total DFT energy (no corrections) is -58.56 eV/cell.

[7]
This record from the Open Quantum Materials Database describes a geometry-optimized FeCoP2 structure. The functional is PBE.

Cell: 6.046 6.046 6.046 Å, 131.43 131.43 71.13°
Element x y z (fractional)
1 Co 0.500 0.500 0.000
2 Co 0.250 0.750 0.500
3 Fe 0.000 0.000 0.000
4 Fe 0.750 0.250 0.500
5 P 0.375 0.876 0.001
6 P 0.124 0.125 0.499
7 P 0.626 0.625 0.501
8 P 0.875 0.374 0.999

Its total DFT energy (no corrections) is -53.46 eV/cell.

[8]
This record from the Open Quantum Materials Database describes a geometry-optimized FeCoP2 structure. The functional is PBE.

Cell: 5.019 3.209 5.619 Å, 90.00 90.12 90.00°
Element x y z (fractional)
1 Co 0.501 0.250 0.202
2 Co 0.499 0.750 0.798
3 Fe 0.001 0.250 0.299
4 Fe 0.999 0.750 0.701
5 P 0.816 0.750 0.076
6 P 0.303 0.750 0.421
7 P 0.697 0.250 0.579
8 P 0.184 0.250 0.924

Its total DFT energy (no corrections) is -57.40 eV/cell.

[9]
This record from the Open Quantum Materials Database describes a geometry-optimized PrFeCoP2 structure. The functional is PBE.

Cell: 5.663 5.663 5.663 Å, 139.96 139.96 57.91°
Element x y z (fractional)
1 Co 0.250 0.750 0.500
2 Fe 0.750 0.250 0.500
3 P 0.360 0.360 0.000
4 P 0.640 0.640 0.000
5 Pr 0.000 0.000 0.000

Its total DFT energy (no corrections) is -35.68 eV/cell.

[10]
This record from the Open Quantum Materials Database describes a geometry-optimized RbFeCoP2 structure. The functional is PBE.

Cell: 7.276 7.276 7.276 Å, 150.36 150.36 42.42°
Element x y z (fractional)
1 Co 0.000 0.000 0.000
2 Fe 0.500 0.500 0.000
3 P 0.585 0.085 0.500
4 P 0.915 0.415 0.500
5 Rb 0.250 0.750 0.500

Its total DFT energy (no corrections) is -30.06 eV/cell.

[11]
This record from the Open Quantum Materials Database describes a geometry-optimized SmFeCoP2 structure. The functional is PBE.

Cell: 5.548 5.548 5.548 Å, 139.57 139.57 58.51°
Element x y z (fractional)
1 Co 0.500 0.500 0.000
2 Fe 0.000 0.000 0.000
3 P 0.618 0.118 0.500
4 P 0.882 0.382 0.500
5 Sm 0.250 0.750 0.500

Its total DFT energy (no corrections) is -35.82 eV/cell.

[12]
This record from the Open Quantum Materials Database describes a geometry-optimized TbFeCoP2 structure. The functional is PBE.

Cell: 5.471 5.471 5.471 Å, 139.42 139.42 58.73°
Element x y z (fractional)
1 Co 0.000 0.000 0.000
2 Fe 0.500 0.500 0.000
3 P 0.622 0.122 0.500
4 P 0.878 0.378 0.500
5 Tb 0.250 0.750 0.500

Its total DFT energy (no corrections) is -35.87 eV/cell.

Look up the total DFT energy (no corrections) of the second one. -43.24 eV/cell